Entry from the Alexandria database: an optimized crystal structure of ScFe2F (PBE with a Hubbard U).

```
data_ScFe2F
_chemical_formula_sum 'Sc1 Fe2 F1'
_space_group_name_H-M_alt 'P 1'
_space_group_IT_number 1
_cell_length_a 4.600
_cell_length_b 4.600
_cell_length_c 4.600
_cell_angle_alpha 60.00
_cell_angle_beta 60.00
_cell_angle_gamma 60.00
loop_
_space_group_symop_operation_xyz
'x,y,z'
loop_
_atom_site_label
_atom_site_fract_x
_atom_site_fract_y
_atom_site_fract_z
F1 0.000 0.000 0.000
Fe1 0.750 0.750 0.750
Fe2 0.250 0.250 0.250
Sc1 0.500 0.500 0.500
```

Computed properties:
* energy above the lowest structure with this stoichiometry: 2.85 eV per formula unit
* Fermi-level density of states: 1.7 states/eV/cell
* total energy: -4.4369 eV/atom